Record 1
# ReAg2As

A relaxed structure of ReAg2As (GGA-PBEsol, Alexandria via LeMat-Bulk).

Calculated density   12.1 g/cm3
SG   No. 123
E_tot   -23.02 eV/cell
Calculated formation energy   0.511 eV/atom

Unit cell a=2.712 b=2.712 c=8.921 alpha=90.00 beta=90.00 gamma=90.00
Atoms (fractional coordinates):
Ag: 0.000 0.000 0.740
Ag: 0.000 0.000 0.260
Re: 0.500 0.500 0.500
As: 0.500 0.500 0.000


Record 2
# CeThN2

A relaxed structure of CeThN2 (GGA-PBEsol, Alexandria via LeMat-Bulk).

Calculated density   10.2 g/cm3
Formation energy (no corrections)   -1.675 eV/atom
SG   No. 166
E_tot   -38.46 eV/cell

Unit cell a=3.585 b=3.585 c=6.194 alpha=73.18 beta=73.18 gamma=60.00
Atoms (fractional coordinates):
N: 0.251 0.251 0.246
N: 0.749 0.749 0.754
Th: 0.500 0.500 0.500
Ce: 0.000 0.000 0.000


Record 3
# NbCrP2

A relaxed structure of NbCrP2 (GGA-PBEsol, Alexandria via LeMat-Bulk).

Calculated density   6.5 g/cm3
SG   No. 225
E_tot   -34.19 eV/cell
Calculated formation energy   -0.387 eV/atom

Unit cell a=4.210 b=4.210 c=4.210 alpha=60.00 beta=60.00 gamma=60.00
Atoms (fractional coordinates):
Nb: 0.500 0.500 0.500
P: 0.250 0.250 0.250
P: 0.750 0.750 0.750
Cr: 0.000 0.000 0.000


Record 4
# Li4Mn3Cu3Te2O16

A relaxed structure of Li4Mn3Cu3Te2O16 (GGA-PBEsol, Alexandria via LeMat-Bulk).

Calculated density   5.1 g/cm3
Formation energy (no corrections)   -1.383 eV/atom
SG   No. 8
E_tot   -179.92 eV/cell

Unit cell a=5.700 b=5.977 c=9.693 alpha=93.95 beta=90.00 gamma=118.47
Atoms (fractional coordinates):
Mn: 0.834 0.165 0.716
Mn: 0.331 0.165 0.716
Mn: 0.175 0.350 0.217
Cu: 0.665 0.836 0.207
Cu: 0.171 0.836 0.207
Cu: 0.831 0.662 0.711
O: 0.175 0.870 0.593
O: 0.494 0.458 0.849
O: 0.657 0.314 0.620
O: 0.002 0.004 0.806
O: 0.152 0.304 0.622
O: 0.320 0.639 0.120
O: 0.462 0.477 0.343
O: 0.695 0.870 0.593
O: 0.471 0.943 0.352
O: 0.843 0.686 0.080
O: 0.843 0.194 0.088
O: 0.964 0.458 0.849
O: 0.520 0.040 0.839
O: 0.016 0.032 0.288
O: 0.351 0.194 0.088
O: 0.015 0.477 0.343
Li: 0.008 0.016 0.478
Li: 0.652 0.304 0.408
Li: 0.333 0.665 0.915
Li: 0.004 0.008 0.993
Te: 0.674 0.348 0.985
Te: 0.338 0.675 0.483


Record 5
# ZrAlTeI2

A relaxed structure of ZrAlTeI2 (GGA-PBEsol, Alexandria via LeMat-Bulk).

Calculated density   4.7 g/cm3
Formation energy (no corrections)   -0.149 eV/atom
SG   No. 123
E_tot   -20.99 eV/cell

Unit cell a=5.589 b=5.630 c=5.630 alpha=90.00 beta=90.00 gamma=90.00
Atoms (fractional coordinates):
Zr: 0.000 0.000 0.000
I: 0.000 0.000 0.500
I: 0.000 0.500 0.000
Al: 0.500 0.500 0.500
Te: 0.500 0.000 0.000


Record 6
# MgRe2Se

A relaxed structure of MgRe2Se (GGA-PBEsol, Alexandria via LeMat-Bulk).

Calculated density   13.4 g/cm3
Formation energy (no corrections)   0.785 eV/atom
SG   No. 225
E_tot   -29.09 eV/cell

Unit cell a=4.366 b=4.366 c=4.366 alpha=60.00 beta=60.00 gamma=60.00
Atoms (fractional coordinates):
Re: 0.750 0.750 0.750
Re: 0.250 0.250 0.250
Mg: 0.000 0.000 0.000
Se: 0.500 0.500 0.500


Record 7
# Re3IO

A relaxed structure of Re3IO (GGA-PBEsol, Alexandria via LeMat-Bulk).

Calculated density   16.0 g/cm3
Formation energy (no corrections)   1.274 eV/atom
SG   No. 221
E_tot   -40.64 eV/cell

Unit cell a=4.176 b=4.176 c=4.176 alpha=90.00 beta=90.00 gamma=90.00
Atoms (fractional coordinates):
Re: 0.500 0.000 0.000
Re: 0.000 0.000 0.500
Re: 0.000 0.500 0.000
O: 0.000 0.000 0.000
I: 0.500 0.500 0.500


Record 8
# Be4CuRh

A relaxed structure of Be4CuRh (GGA-PBEsol, Alexandria via LeMat-Bulk).

Calculated density   6.2 g/cm3
SG   No. 216
E_tot   -30.39 eV/cell
Calculated formation energy   -0.319 eV/atom

Unit cell a=4.257 b=4.257 c=4.257 alpha=60.00 beta=60.00 gamma=60.00
Atoms (fractional coordinates):
Cu: 0.750 0.750 0.750
Rh: 0.000 0.000 0.000
Be: 0.375 0.375 0.875
Be: 0.375 0.375 0.375
Be: 0.875 0.375 0.375
Be: 0.375 0.875 0.375


Record 9
# ZrAlBr2

A relaxed structure of ZrAlBr2 (GGA-PBEsol, Alexandria via LeMat-Bulk).

Calculated density   5.4 g/cm3
Formation energy (no corrections)   -0.293 eV/atom
SG   No. 47
E_tot   -18.09 eV/cell

Unit cell a=3.264 b=4.588 c=5.672 alpha=90.00 beta=90.00 gamma=90.00
Atoms (fractional coordinates):
Br: 0.000 0.000 0.000
Br: 0.500 0.000 0.500
Al: 0.000 0.500 0.500
Zr: 0.500 0.500 0.000


Record 10
# K2CaOs

A relaxed structure of K2CaOs (GGA-PBEsol, Alexandria via LeMat-Bulk).

Calculated density   4.9 g/cm3
SG   No. 10
E_tot   -11.99 eV/cell
Calculated formation energy   1.157 eV/atom

Unit cell a=2.991 b=5.734 c=6.138 alpha=90.00 beta=90.00 gamma=91.99
Atoms (fractional coordinates):
K: 0.735 0.724 0.000
K: 0.265 0.276 0.000
Ca: 0.500 0.000 0.500
Os: 0.000 0.500 0.500


Record 11
# Ta2FeAu

A relaxed structure of Ta2FeAu (GGA-PBEsol, Alexandria via LeMat-Bulk).

Calculated density   16.7 g/cm3
SG   No. 123
E_tot   -38.05 eV/cell
Calculated formation energy   -0.015 eV/atom

Unit cell a=3.929 b=3.929 c=3.953 alpha=90.00 beta=90.00 gamma=90.00
Atoms (fractional coordinates):
Au: 0.500 0.500 0.500
Ta: 0.000 0.500 0.000
Ta: 0.500 0.000 0.000
Fe: 0.000 0.000 0.500


Record 12
# CuSb4As

A relaxed structure of CuSb4As (GGA-PBEsol, Alexandria via LeMat-Bulk).

Calculated density   6.7 g/cm3
Formation energy (no corrections)   0.761 eV/atom
SG   No. 216
E_tot   -23.11 eV/cell

Unit cell a=6.016 b=6.016 c=6.016 alpha=60.00 beta=60.00 gamma=60.00
Atoms (fractional coordinates):
Cu: 0.000 0.000 0.000
As: 0.750 0.750 0.750
Sb: 0.875 0.375 0.375
Sb: 0.375 0.375 0.875
Sb: 0.375 0.875 0.375
Sb: 0.375 0.375 0.375